1.
BaScS2: optimized geometry, PBE.

```
BaScS2
1.0
2.271 0.000 8.714
-1.135 1.967 8.714
-1.135 -1.967 8.714
Sc S Ba
1 2 1
direct
0.500 0.500 0.500
0.885 0.885 0.885
0.115 0.115 0.115
0.000 0.000 0.000
```

---

2.
Dy2Zn5Cu PBE optimized geometry; energy of formation = -299 meV per atom
1.0
4.252 0.000 0.000
-2.126 7.972 0.000
0.000 0.000 8.819
Dy Zn Cu
4 10 2
direct
0.806 0.612 0.750
0.194 0.388 0.250
0.000 0.000 0.000
0.000 0.000 0.500
0.190 0.379 0.894
0.810 0.621 0.106
0.190 0.379 0.606
0.810 0.621 0.394
0.354 0.708 0.974
0.646 0.292 0.026
0.354 0.708 0.526
0.646 0.292 0.474
0.600 0.201 0.750
0.400 0.799 0.250
0.447 0.895 0.750
0.553 0.105 0.250

---

no.,density of states at the Fermi level (states/eV per cell),energy (eV/atom)
1,1.56,-5.6275
2,7.79,-2.7576